# PBE with a Hubbard U TaMoN2O, relaxed
data_TaMoN2O
_chemical_formula_sum 'Ta1 Mo1 N2 O1'
_cell_length_a 4.115
_cell_length_b 4.115
_cell_length_c 3.875
_cell_angle_alpha 90.00
_cell_angle_beta 90.00
_cell_angle_gamma 90.00
_symmetry_space_group_name_H-M 'P 4/m m m'
_symmetry_Int_Tables_number 123
_symmetry_space_group_name_Hall '-P 4 2'
loop_
_atom_site_label
_atom_site_type_symbol
_atom_site_fract_x
_atom_site_fract_y
_atom_site_fract_z
Ta1 Ta 0.000 0.000 0.000
Mo1 Mo 0.500 0.500 0.500
N1 N 0.000 0.500 0.000
O1 O 0.000 0.000 0.500
# V	13.1	A^3/atom
# electronic total energy	-8.459	eV/atom